Here is Lu3PtO after structural relaxation from Alexandria via LeMat-Bulk. Energies are from GGA-PBE.

Results
- space-group type = No. 221
- final energy (eV/atom) = -6.537
- formation energy from raw total energies (eV/atom) = -1.62
- density (Mg/m³) = 13.010
- magnetic moment (Bohr magnetons per cell) = 0.00

Cell and atoms, written as POSCAR:
```
Lu3PtO
1.0
4.5459 0.0000 0.0000
0.0000 4.5459 0.0000
0.0000 0.0000 4.5459
Lu O Pt
3 1 1
Direct
0.0000 0.5000 0.0000 Lu
0.0000 0.0000 0.5000 Lu
0.5000 0.0000 0.0000 Lu
0.0000 0.0000 0.0000 O
0.5000 0.5000 0.5000 Pt
```

=====

Here is Na3Mg2IrO6 after structural relaxation from Alexandria via LeMat-Bulk. Energies are from GGA-PBE.

Results
- space-group type = No. 12
- final energy (eV/atom) = -5.571
- formation energy from raw total energies (eV/atom) = -1.76
- density (Mg/m³) = 5.039
- magnetic moment (Bohr magnetons per cell) = 2.02

Cell and atoms, written as POSCAR:
```
Na3Mg2IrO6
1.0
-5.2638 0.6216 -0.7679
2.9228 -2.7323 -3.5603
-0.1491 -3.8407 4.1758
Na Mg Ir O
3 2 1 6
Direct
0.1684 0.8316 0.5000 Na
0.8316 0.1684 0.5000 Na
0.5000 0.5000 0.5000 Na
0.3332 0.6668 0.0000 Mg
0.6668 0.3332 0.0000 Mg
0.0000 0.0000 0.0000 Ir
0.9325 0.6139 0.7971 O
0.7497 0.7497 0.2010 O
0.0675 0.3861 0.2029 O
0.6139 0.9325 0.7971 O
0.2503 0.2503 0.7990 O
0.3861 0.0675 0.2029 O
```

=====

Here is RbNa2Gd after structural relaxation from Alexandria via LeMat-Bulk. Energies are from GGA-PBE.

Results
- space-group type = No. 166
- final energy (eV/atom) = -4.060
- density (Mg/m³) = 2.666
- magnetic moment (Bohr magnetons per cell) = 7.75
- DFT formation energy (eV per atom) = 0.361

Cell and atoms, written as POSCAR:
```
RbNa2Gd
1.0
-0.0095 -2.3045 -2.9981
3.0424 -2.1082 -0.7739
-4.3083 -12.1730 6.9858
Na Gd Rb
2 1 1
Direct
0.0803 0.0803 0.7591 Na
0.9197 0.9197 0.2409 Na
0.0000 0.0000 0.0000 Gd
0.5000 0.5000 0.5000 Rb
```